## Li6SnAu6 (GGA-PBE)

Data for a relaxed structure of Li6SnAu6. Values from VASP.

Quantum ESPRESSO input file:
```
&SYSTEM
  ibrav = 0, nat = 13, ntyp = 3
/
ATOMIC_SPECIES
Li 6.94 Li.upf
Sn 118.71 Sn.upf
Au 196.97 Au.upf
CELL_PARAMETERS angstrom
5.5419 0.0000 0.0000
-2.7709 4.7994 0.0000
0.0000 0.0000 8.9760
ATOMIC_POSITIONS angstrom
Li 0.0000 0.0000 1.6195
Li 0.0000 0.0000 7.3565
Li 0.0000 3.1996 0.0000
Li 0.0000 3.1996 4.4880
Li 2.7709 1.5998 0.0000
Li 2.7709 1.5998 4.4880
Sn 0.0000 0.0000 4.4880
Au -1.3855 2.3997 2.2309
Au -1.3855 2.3997 6.7450
Au 2.7709 0.0000 2.2309
Au 2.7709 0.0000 6.7450
Au 1.3855 2.3997 2.2309
Au 1.3855 2.3997 6.7450
```

Volume (Å³ per atom): 18.36
N(E_F) (states/eV/cell): 3.483
Space-group type: P6/mmm
Total magnetic moment (Bohr magnetons per cell): 0.00
E (eV per atom): -3.12
Crystal system: hexagonal
Formation energy from the elements (eV/atom): -0.416

---

## Pu6Pd2Rh (GGA-PBE)

Data for a relaxed structure of Pu6Pd2Rh. Values from VASP.

Quantum ESPRESSO input file:
```
&SYSTEM
  ibrav = 0, nat = 9, ntyp = 3
/
ATOMIC_SPECIES
Pu 244.00 Pu.upf
Pd 106.42 Pd.upf
Rh 102.91 Rh.upf
CELL_PARAMETERS angstrom
4.3781 -2.5033 0.0000
4.3781 2.5033 0.0000
-0.0273 0.0000 8.7366
ATOMIC_POSITIONS angstrom
Pu -0.0013 0.0000 1.5948
Pu 8.7302 0.0000 7.1418
Pu 2.9025 0.0000 5.1300
Pu 2.9074 0.0000 7.9451
Pu 5.8216 0.0000 0.7915
Pu 5.8264 0.0000 3.6066
Pd 2.9159 0.0000 2.1707
Pd 5.8131 0.0000 6.5658
Rh -0.0137 0.0000 4.3683
```

Volume (Å³ per atom): 21.28
N(E_F) (states/eV/cell): 36.124
Space-group type: C2/m
Total magnetic moment (Bohr magnetons per cell): 11.29
E (eV per atom): -11.73
Crystal system: monoclinic
Formation energy from the elements (eV/atom): -0.201

---

## K2LiAl (GGA-PBE)

Data for a relaxed structure of K2LiAl. Values from VASP.

Quantum ESPRESSO input file:
```
&SYSTEM
  ibrav = 0, nat = 4, ntyp = 3
/
ATOMIC_SPECIES
K 39.10 K.upf
Li 6.94 Li.upf
Al 26.98 Al.upf
CELL_PARAMETERS angstrom
3.6964 0.0000 0.0000
0.0000 4.0570 0.0000
-0.1632 0.0000 10.1526
ATOMIC_POSITIONS angstrom
K 0.0000 0.0000 0.0000
K 1.7489 2.0285 4.0622
Li 3.5571 0.0000 6.8188
Al 1.7029 2.0285 7.6412
```

Volume (Å³ per atom): 38.06
N(E_F) (states/eV/cell): 2.397
Space-group type: Pm
Total magnetic moment (Bohr magnetons per cell): 0.00
E (eV per atom): -1.78
Crystal system: monoclinic
Formation energy from the elements (eV/atom): 0.186